Computed, not measured: a geometry-optimized NaCrMo2O8 structure at the PBE with a Hubbard U level of DFT.

Cell: 5.9673 5.9673 5.9673 Å, 107.41 107.41 113.67°
Closest atoms and distances in Å follow each position.
Atoms (fractional coordinates):
1 Na 0.0000 0.0000 0.0000  4 O 2.22
2 Cr 0.7500 0.2500 0.5000  4 O 2.14
3 Mo 0.2500 0.7500 0.5000  4 O 1.79
4 Mo 0.5000 0.5000 0.0000  4 O 1.81
5 O 0.0736 0.3797 0.3061  1 Mo 1.79
6 O 0.0736 0.7675 0.6939  1 Mo 1.79
7 O 0.1317 0.3414 0.7903  1 Mo 1.81
8 O 0.2325 0.9264 0.3061  1 Mo 1.79
9 O 0.5511 0.3414 0.2097  1 Mo 1.81
10 O 0.6203 0.9264 0.6939  1 Mo 1.79
11 O 0.6586 0.4489 0.7903  1 Mo 1.81
12 O 0.6586 0.8683 0.2097  1 Mo 1.81

Output
**Magnetic moment**: 3.00 μB per cell
**Space-group type**: No. 119
**Volume**: 162.9 Å³/cell
**Final energy**: -6.69 eV per atom